Entry 1:
# Pm3Cu (PBE, optimized geometry)
data_Pm3Cu
_chemical_formula_sum 'Pm3 Cu1'
_symmetry_space_group_name_H-M 'P 1'
_symmetry_Int_Tables_number 1
_cell_length_a 3.601
_cell_length_b 3.675
_cell_length_c 9.356
_cell_angle_alpha 90.00
_cell_angle_beta 90.00
_cell_angle_gamma 90.00
loop_
_symmetry_equiv_pos_as_xyz
'x,y,z'
loop_
_atom_site_label
_atom_site_type_symbol
_atom_site_fract_x
_atom_site_fract_y
_atom_site_fract_z
Pm1 Pm 0.000 0.000 0.000
Pm2 Pm 0.000 0.500 0.331
Pm3 Pm 0.500 0.500 0.721
Cu1 Cu 0.500 0.000 0.475
# * DOS at the Fermi energy: 5.57 states/eV/cell
# * E_form: 0.14 eV/atom
# * relative energy among the computed polymorphs: 0.85 eV per formula unit
# * VASP energy: -4.450 eV per atom

---

Entry 2:
# ZrTl2Ag (PBE, optimized geometry)
data_ZrTl2Ag
_chemical_formula_sum 'Zr1 Tl2 Ag1'
_symmetry_space_group_name_H-M 'P 1'
_symmetry_Int_Tables_number 1
_cell_length_a 5.051
_cell_length_b 5.051
_cell_length_c 5.051
_cell_angle_alpha 60.00
_cell_angle_beta 60.00
_cell_angle_gamma 60.00
loop_
_symmetry_equiv_pos_as_xyz
'x,y,z'
loop_
_atom_site_label
_atom_site_type_symbol
_atom_site_fract_x
_atom_site_fract_y
_atom_site_fract_z
Zr1 Zr 0.000 0.000 0.000
Tl1 Tl 0.250 0.250 0.250
Tl2 Tl 0.750 0.750 0.750
Ag1 Ag 0.500 0.500 0.500
# * DOS at the Fermi energy: 3.99 states/eV/cell
# * E_form: 0.21 eV/atom
# * relative energy among the computed polymorphs: 0.79 eV per formula unit
# * VASP energy: -3.824 eV per atom

---

Entry 3:
# Tb6Sb3TeAs2 (PBE, optimized geometry)
data_Tb6Sb3TeAs2
_chemical_formula_sum 'Tb6 Sb3 Te1 As2'
_symmetry_space_group_name_H-M 'P 1'
_symmetry_Int_Tables_number 1
_cell_length_a 9.630
_cell_length_b 9.630
_cell_length_c 8.651
_cell_angle_alpha 102.90
_cell_angle_beta 102.90
_cell_angle_gamma 25.81
loop_
_symmetry_equiv_pos_as_xyz
'x,y,z'
loop_
_atom_site_label
_atom_site_type_symbol
_atom_site_fract_x
_atom_site_fract_y
_atom_site_fract_z
Tb1 Tb 0.007 0.007 0.260
Tb2 Tb 0.329 0.329 0.426
Tb3 Tb 0.329 0.329 0.901
Tb4 Tb 0.671 0.671 0.099
Tb5 Tb 0.671 0.671 0.574
Tb6 Tb 0.993 0.993 0.740
Sb1 Sb 0.163 0.163 0.833
Sb2 Sb 0.500 0.500 0.500
Sb3 Sb 0.837 0.837 0.167
Te1 Te 0.500 0.500 0.000
As1 As 0.168 0.168 0.334
As2 As 0.832 0.832 0.666
# * DOS at the Fermi energy: 2.17 states/eV/cell
# * formation energy from raw total energies: -1.3236 eV per atom
# * VASP energy: -5.706 eV per atom

---

Entry 4:
# Tm2HfAg2S6 (PBE, optimized geometry)
data_Tm2HfAg2S6
_chemical_formula_sum 'Tm2 Hf1 Ag2 S6'
_symmetry_space_group_name_H-M 'P 1'
_symmetry_Int_Tables_number 1
_cell_length_a 6.662
_cell_length_b 6.662
_cell_length_c 6.863
_cell_angle_alpha 101.09
_cell_angle_beta 101.09
_cell_angle_gamma 119.36
loop_
_symmetry_equiv_pos_as_xyz
'x,y,z'
loop_
_atom_site_label
_atom_site_type_symbol
_atom_site_fract_x
_atom_site_fract_y
_atom_site_fract_z
Tm1 Tm 0.167 0.833 0.000
Tm2 Tm 0.833 0.167 0.000
Hf1 Hf 0.500 0.500 0.000
Ag1 Ag 0.323 0.677 0.500
Ag2 Ag 0.677 0.323 0.500
S1 S 0.093 0.411 0.772
S2 S 0.274 0.274 0.230
S3 S 0.411 0.093 0.772
S4 S 0.589 0.907 0.228
S5 S 0.726 0.726 0.770
S6 S 0.907 0.589 0.228
# * DOS at the Fermi energy: 0.00 states/eV/cell
# * formation energy from raw total energies: -1.3478 eV per atom
# * VASP energy: -5.835 eV per atom

---

Entry 5:
# K2AlWN (PBE, optimized geometry)
data_K2AlWN
_chemical_formula_sum 'K2 Al1 W1 N1'
_symmetry_space_group_name_H-M 'P 1'
_symmetry_Int_Tables_number 1
_cell_length_a 6.803
_cell_length_b 6.803
_cell_length_c 3.385
_cell_angle_alpha 90.00
_cell_angle_beta 90.00
_cell_angle_gamma 90.00
loop_
_symmetry_equiv_pos_as_xyz
'x,y,z'
loop_
_atom_site_label
_atom_site_type_symbol
_atom_site_fract_x
_atom_site_fract_y
_atom_site_fract_z
K1 K 0.000 0.500 0.000
K2 K 0.500 0.000 0.000
Al1 Al 0.000 0.000 0.000
W1 W 0.500 0.500 0.500
N1 N 0.000 0.000 0.500
# * DOS at the Fermi energy: 3.14 states/eV/cell
# * formation energy from raw total energies: 1.2533 eV per atom
# * VASP energy: -4.190 eV per atom

---

Entry 6:
# Cd2IrAu (PBE, optimized geometry)
data_Cd2IrAu
_chemical_formula_sum 'Cd2 Ir1 Au1'
_symmetry_space_group_name_H-M 'P 1'
_symmetry_Int_Tables_number 1
_cell_length_a 10.068
_cell_length_b 10.068
_cell_length_c 10.068
_cell_angle_alpha 16.73
_cell_angle_beta 16.73
_cell_angle_gamma 16.73
loop_
_symmetry_equiv_pos_as_xyz
'x,y,z'
loop_
_atom_site_label
_atom_site_type_symbol
_atom_site_fract_x
_atom_site_fract_y
_atom_site_fract_z
Cd1 Cd 0.000 0.000 0.000
Cd2 Cd 0.239 0.239 0.239
Ir1 Ir 0.743 0.743 0.743
Au1 Au 0.488 0.488 0.488
# * DOS at the Fermi energy: 3.78 states/eV/cell
# * E_form: 0.20 eV/atom
# * relative energy among the computed polymorphs: 0.67 eV per formula unit
# * VASP energy: -3.296 eV per atom

---

Entry 7:
# PrDyGe2 (PBE, optimized geometry)
data_PrDyGe2
_chemical_formula_sum 'Pr2 Dy2 Ge4'
_symmetry_space_group_name_H-M 'P 1'
_symmetry_Int_Tables_number 1
_cell_length_a 6.996
_cell_length_b 6.996
_cell_length_c 6.637
_cell_angle_alpha 90.00
_cell_angle_beta 90.00
_cell_angle_gamma 143.05
loop_
_symmetry_equiv_pos_as_xyz
'x,y,z'
loop_
_atom_site_label
_atom_site_type_symbol
_atom_site_fract_x
_atom_site_fract_y
_atom_site_fract_z
Pr1 Pr 0.048 0.952 0.750
Pr2 Pr 0.952 0.048 0.250
Dy1 Dy 0.224 0.776 0.250
Dy2 Dy 0.776 0.224 0.750
Ge1 Ge 0.392 0.608 0.552
Ge2 Ge 0.392 0.608 0.948
Ge3 Ge 0.608 0.392 0.052
Ge4 Ge 0.608 0.392 0.448
# * DOS at the Fermi energy: 4.05 states/eV/cell
# * E_form: -0.83 eV/atom
# * VASP energy: -5.482 eV per atom

---

Entry 8:
# Bi8H (PBE, optimized geometry)
data_Bi8H
_chemical_formula_sum 'Bi8 H1'
_symmetry_space_group_name_H-M 'P 1'
_symmetry_Int_Tables_number 1
_cell_length_a 4.678
_cell_length_b 8.834
_cell_length_c 8.837
_cell_angle_alpha 63.41
_cell_angle_beta 81.25
_cell_angle_gamma 81.39
loop_
_symmetry_equiv_pos_as_xyz
'x,y,z'
loop_
_atom_site_label
_atom_site_type_symbol
_atom_site_fract_x
_atom_site_fract_y
_atom_site_fract_z
Bi1 Bi 0.000 0.000 0.000
Bi2 Bi 0.001 0.486 0.510
Bi3 Bi 0.009 0.988 0.496
Bi4 Bi 0.022 0.478 0.983
Bi5 Bi 0.540 0.288 0.800
Bi6 Bi 0.635 0.836 0.350
Bi7 Bi 0.661 0.838 0.849
Bi8 Bi 0.662 0.341 0.342
H1 H 0.290 0.557 0.061
# * DOS at the Fermi energy: 2.55 states/eV/cell
# * VASP energy: -3.668 eV per atom